The following is a PBE calculation of crystalline PaTc2P2Ru at its relaxed geometry, from the Alexandria database.

Computed properties:
- energy (Ry per atom) = -0.6661
- total magnetization (μB per formula unit) = 0.0

Cell lengths 3.9982, 7.0519, 6.7096 Å; angles 90.00, 90.00, 90.00 degrees
Fractional coordinates of all 12 atoms:
Pa 0.0000 0.0987 0.0000
Pa 0.0000 0.9013 0.5000
Tc 0.0000 0.3183 0.3836
Tc 0.0000 0.6817 0.8836
Tc 0.5000 0.4190 0.0851
Tc 0.5000 0.5810 0.5851
P 0.0000 0.4011 0.7148
P 0.0000 0.5989 0.2148
P 0.5000 0.1463 0.3087
P 0.5000 0.8537 0.8087
Ru 0.5000 0.1957 0.6875
Ru 0.5000 0.8043 0.1875

=====

The following is a PBE calculation of crystalline PaTcPRu at its relaxed geometry, from the Alexandria database.

Computed properties:
- energy (Ry per atom) = -0.6547
- total magnetization (μB per formula unit) = 0.0

Cell lengths 3.9331, 4.4147, 4.4972 Å; angles 90.00, 90.00, 90.00 degrees
Fractional coordinates of all 4 atoms:
Pa 0.0000 0.0000 0.0000
Tc 0.5000 0.5000 0.0000
P 0.5000 0.5000 0.5000
Ru 0.5000 0.0000 0.5000